Entry 1:
Entry from the Alexandria database: Ag2OsPt after structural relaxation (GGA-PBE).

POSCAR file:
```
Ag2OsPt
1.0
5.0769 0.0044 -0.0078
4.3430 2.6292 -0.0078
0.7126 0.1992 4.8324
Pt Ag Os
1 2 1
Cartesian
2.5331 0.7082 1.2042
0.7292 0.2039 4.8214
5.0497 1.4118 2.4194
7.5994 2.1246 3.6126
```

Properties
Calculated formation energy in meV/atom: 386
Space-group type: C2/m
Energy relative to the lowest polymorph listed for this composition in meV per atom: 131
DFT total energy in eV per atom: -5.36
Density of states at the Fermi level in states/eV/atom: 0.91

Entry 2:
Entry from the Alexandria database: NaMoCl2 after structural relaxation (GGA-PBE).

POSCAR file:
```
NaMoCl2
1.0
1.8603 0.0000 8.5107
-0.9301 1.6111 8.5107
-0.9301 -1.6111 8.5107
Cl Mo Na
2 1 1
Cartesian
0.0000 0.0000 2.3667
0.0000 0.0000 23.1653
0.0000 0.0000 0.0000
0.0000 0.0000 12.7660
```

Properties
Space-group type: R-3m
Energy relative to the lowest polymorph listed for this composition in meV per atom: 0
DFT total energy in eV per atom: -4.34
Density of states at the Fermi level in states/eV/atom: 0.64

Entry 3:
Entry from the Alexandria database: CeICl after structural relaxation (GGA-PBE).

POSCAR file:
```
CeICl
1.0
-4.1596 2.9121 -1.3908
-3.5338 1.4430 3.6259
-0.3142 5.0328 1.5130
I Cl Ce
1 1 1
Cartesian
-4.0038 4.6939 1.8740
0.0000 0.0000 0.0000
-2.0019 2.3470 0.9370
```

Properties
Space-group type: F-43m
Energy relative to the lowest polymorph listed for this composition in meV per atom: 213
DFT total energy in eV per atom: -4.44
Density of states at the Fermi level in states/eV/atom: 3.89

Entry 4:
Entry from the Alexandria database: Dy2ScPb after structural relaxation (GGA-PBE).

POSCAR file:
```
Dy2ScPb
1.0
-3.4991 -1.4786 2.9295
-0.9533 -3.5786 -2.9449
3.0931 -2.7303 2.3164
Dy Sc Pb
2 1 1
Cartesian
-0.4767 -1.7893 -1.4725
1.5466 -1.3651 1.1582
-1.7495 -0.7393 1.4648
-0.6796 -3.8937 1.1505
```

Properties
Calculated formation energy in meV/atom: -263
Space-group type: P4/mmm
Energy relative to the lowest polymorph listed for this composition in meV per atom: 0
DFT total energy in eV per atom: -5.07
Density of states at the Fermi level in states/eV/atom: 1.39

Entry 5:
Entry from the Alexandria database: YCo2Ru2 after structural relaxation (GGA-PBE).

POSCAR file:
```
YCo2Ru2
1.0
7.3391 0.0000 0.0000
0.0000 7.3391 0.0000
0.0000 0.0000 2.7657
Ru Y Co
4 2 4
Cartesian
6.4373 4.5713 0.0000
2.7678 6.4373 0.0000
4.5713 0.9018 0.0000
0.9018 2.7678 0.0000
3.6695 3.6695 0.0000
0.0000 0.0000 0.0000
6.0746 2.4051 1.3829
4.9339 6.0746 1.3829
2.4051 1.2644 1.3829
1.2644 4.9339 1.3829
```

Properties
Calculated formation energy in meV/atom: 168
Space-group type: P4/mbm
Energy relative to the lowest polymorph listed for this composition in meV per atom: 156
DFT total energy in eV per atom: -7.68
Density of states at the Fermi level in states/eV/atom: 1.56

Entry 6:
Entry from the Alexandria database: Dy2HfPaN4 after structural relaxation (GGA-PBE).

POSCAR file:
```
Dy2HfPaN4
1.0
3.4047 0.0000 0.0000
0.0000 5.8968 0.1243
0.0000 -2.0403 5.5456
Dy Pa Hf N
2 1 1 4
Cartesian
1.7023 -1.0201 2.7728
0.0000 1.9283 2.8349
1.7023 2.9484 0.0621
0.0000 0.0000 0.0000
0.0000 -0.1267 4.2816
1.7023 0.9335 1.2760
1.7023 2.9230 4.3939
0.0000 3.9832 1.3883
```

Properties
Space-group type: P2/m
DFT total energy in eV per atom: -9.45
Density of states at the Fermi level in states/eV/atom: 0.43

Entry 7:
Entry from the Alexandria database: LiTiBi2 after structural relaxation (GGA-PBE).

POSCAR file:
```
LiTiBi2
1.0
7.7894 0.0000 0.0000
0.0000 7.7894 0.0000
3.8947 3.8947 3.3254
Li Ti Bi
2 2 4
Cartesian
3.8947 3.8947 0.0000
3.8947 7.7894 1.6627
7.7894 3.8947 1.6627
0.0000 0.0000 0.0000
9.7368 9.7406 2.4940
5.8421 5.8383 2.4940
1.9436 5.8421 0.8313
5.8459 1.9474 0.8313
```

Properties
Calculated formation energy in meV/atom: 36
Space-group type: I-42d
Energy relative to the lowest polymorph listed for this composition in meV per atom: 206
DFT total energy in eV per atom: -4.36
Density of states at the Fermi level in states/eV/atom: 0.75

Entry 8:
Entry from the Alexandria database: Ac2TcCl after structural relaxation (GGA-PBE).

POSCAR file:
```
Ac2TcCl
1.0
3.6686 0.0000 0.0000
0.0000 3.6686 0.0000
0.0000 0.0000 8.4592
Ac Tc Cl
2 1 1
Cartesian
0.0000 0.0000 1.8136
0.0000 0.0000 6.6456
1.8343 1.8343 0.0000
1.8343 1.8343 4.2296
```

Properties
Space-group type: P4/mmm
DFT total energy in eV per atom: -5.68
Density of states at the Fermi level in states/eV/atom: 0.51

Entry 9:
Entry from the Alexandria database: ZrAuI6 after structural relaxation (GGA-PBE).

POSCAR file:
```
ZrAuI6
1.0
6.5799 0.3203 -0.2574
3.5164 8.5735 0.6792
3.0834 3.9001 6.7766
I Au Zr
6 1 1
Cartesian
5.0949 2.3093 1.0082
8.0847 10.4846 6.1902
5.3697 8.7425 2.9622
7.8099 4.0514 4.2362
8.6531 6.6597 1.6186
4.5265 6.1342 5.5798
6.5898 6.3970 3.5992
0.0000 0.0000 0.0000
```

Properties
Space-group type: P-1
DFT total energy in eV per atom: -3.15
Density of states at the Fermi level in states/eV/atom: 0.73

Entry 10:
Entry from the Alexandria database: La8Y4Ho after structural relaxation (GGA-PBE).

POSCAR file:
```
La8Y4Ho
1.0
4.8036 -0.5273 -5.4207
-2.5310 6.5084 1.9685
0.3262 3.8043 14.4665
La Y Ho
8 4 1
Cartesian
0.7695 5.7121 2.7364
0.3851 2.6898 4.8976
2.2144 7.0956 6.1172
0.4430 7.6294 9.3540
4.0133 3.8403 5.8123
-1.4145 5.9449 5.2021
2.1559 2.1562 1.6602
1.8294 4.0731 8.2777
3.8641 6.5312 10.0297
1.4623 6.7948 12.7402
2.7278 3.5406 11.7559
0.0001 0.0000 0.0001
-1.1023 5.1564 8.2176
```

Properties
Calculated formation energy in meV/atom: 162
Space-group type: P-1
DFT total energy in eV per atom: -5.21
Density of states at the Fermi level in states/eV/atom: 1.32

Entry 11:
Entry from the Alexandria database: YFePb3 after structural relaxation (GGA-PBE).

POSCAR file:
```
YFePb3
1.0
5.1241 0.0000 0.0000
0.0000 5.1241 0.0000
0.0000 0.0000 5.1241
Pb Y Fe
3 1 1
Cartesian
0.0000 2.5621 0.0000
0.0000 0.0000 2.5621
2.5621 0.0000 0.0000
2.5621 2.5621 2.5621
0.0000 0.0000 0.0000
```

Properties
Calculated formation energy in meV/atom: 290
Space-group type: Pm-3m
Energy relative to the lowest polymorph listed for this composition in meV per atom: 0
DFT total energy in eV per atom: -4.92
Density of states at the Fermi level in states/eV/atom: 0.80

Entry 12:
Entry from the Alexandria database: CoTe4Ir after structural relaxation (GGA-PBE).

POSCAR file:
```
CoTe4Ir
1.0
4.2112 0.1829 4.3592
-0.9826 3.2396 5.0309
-0.9765 -2.8192 5.2791
Te Co Ir
4 1 1
Cartesian
0.3530 -1.1899 8.1441
2.9581 0.3177 7.6821
0.8433 0.2259 5.4930
0.3499 1.8527 8.0194
1.6891 0.4524 11.0019
0.0000 0.0000 0.0000
```

Properties
Space-group type: F-43m
Energy relative to the lowest polymorph listed for this composition in meV per atom: 1743
DFT total energy in eV per atom: -3.23
Density of states at the Fermi level in states/eV/atom: 1.83